ScIn2Ge: optimized geometry, PBE.

Output
Its space group is R-3m. As for the formation energy from the elements: 0.91 eV/f.u. For the uncorrected energy, the calculation gives -15.51 eV per formula unit.

a = 3.353 Å, b = 3.353 Å, c = 10.760 Å
α = 81.04°, β = 81.04°, γ = 60.00°
Positions (direct):
In1 0.094 0.094 0.718
In2 0.906 0.906 0.282
Sc1 0.000 0.000 0.000
Ge1 0.500 0.500 0.500

=====

TbBe17W: optimized geometry, PBE.

Output
Its space group is R3m. As for the formation energy from the elements: -1.94 eV/f.u. For the uncorrected energy, the calculation gives -82.87 eV per formula unit.

a = 5.648 Å, b = 5.648 Å, c = 5.648 Å
α = 82.98°, β = 82.98°, γ = 82.98°
Positions (direct):
Be1 0.651 0.164 0.651
Be2 0.286 0.709 0.005
Be3 0.003 0.498 0.003
Be4 0.844 0.339 0.339
Be5 0.102 0.102 0.102
Be6 0.005 0.286 0.709
Be7 0.339 0.844 0.339
Be8 0.709 0.286 0.005
Be9 0.909 0.909 0.909
Be10 0.003 0.003 0.498
Be11 0.651 0.651 0.164
Be12 0.005 0.709 0.286
Be13 0.498 0.003 0.003
Be14 0.339 0.339 0.844
Be15 0.164 0.651 0.651
Be16 0.709 0.005 0.286
Be17 0.286 0.005 0.709
W1 0.336 0.336 0.336
Tb1 0.661 0.661 0.661

=====

Hf4PtRh: optimized geometry, PBE.

Output
Its space group is Cmmm. As for the formation energy from the elements: -0.62 eV/f.u. For the uncorrected energy, the calculation gives -53.82 eV per formula unit.

a = 3.951 Å, b = 6.090 Å, c = 6.090 Å
α = 90.01°, β = 90.00°, γ = 90.00°
Positions (direct):
Hf1 0.500 0.295 0.705
Hf2 0.000 0.197 0.197
Hf3 0.500 0.705 0.295
Hf4 0.000 0.803 0.803
Rh1 0.500 0.000 0.000
Pt1 0.000 0.500 0.500

=====

LiVC2: optimized geometry, PBE.

Output
Its space group is Fm-3m. As for the formation energy from the elements: 3.82 eV/f.u. For the uncorrected energy, the calculation gives -25.66 eV per formula unit.

a = 3.606 Å, b = 3.606 Å, c = 3.606 Å
α = 60.00°, β = 60.00°, γ = 60.00°
Positions (direct):
C1 0.250 0.250 0.250
C2 0.750 0.750 0.750
Li1 0.000 0.000 0.000
V1 0.500 0.500 0.500

=====

Dy2YTm9: optimized geometry, PBE.

Output
Its space group is P4/mmm. As for the formation energy from the elements: 0.33 eV/f.u. For the uncorrected energy, the calculation gives -55.59 eV per formula unit.

a = 4.955 Å, b = 4.955 Å, c = 14.870 Å
α = 90.00°, β = 90.00°, γ = 90.00°
Positions (direct):
Tm1 0.500 0.000 0.168
Tm2 0.000 0.500 0.832
Tm3 0.500 0.000 0.832
Tm4 0.500 0.500 0.334
Tm5 0.500 0.500 0.000
Tm6 0.500 0.000 0.500
Tm7 0.500 0.500 0.666
Tm8 0.000 0.500 0.500
Tm9 0.000 0.500 0.168
Dy1 0.000 0.000 0.334
Dy2 0.000 0.000 0.666
Y1 0.000 0.000 0.000

=====

Ho4AsC2: optimized geometry, PBE.

Output
Its space group is Cmcm. As for the formation energy from the elements: -4.64 eV/f.u. For the uncorrected energy, the calculation gives -46.05 eV per formula unit.

a = 3.762 Å, b = 6.319 Å, c = 12.353 Å
α = 90.00°, β = 90.00°, γ = 107.32°
Positions (direct):
Ho1 0.765 0.530 0.392
Ho2 0.934 0.869 0.750
Ho3 0.066 0.131 0.250
Ho4 0.500 0.000 0.500
Ho5 0.765 0.530 0.108
Ho6 0.500 0.000 0.000
Ho7 0.235 0.470 0.608
Ho8 0.235 0.470 0.892
C1 0.136 0.272 0.060
C2 0.136 0.272 0.440
C3 0.864 0.728 0.940
C4 0.864 0.728 0.560
As1 0.610 0.220 0.750
As2 0.390 0.780 0.250

=====

Hg2IrCl: optimized geometry, PBE.

Output
Its space group is Imm2. The uncorrected formation energy is 1.15 eV/f.u. For the uncorrected energy, the calculation gives -10.16 eV per formula unit.

a = 7.133 Å, b = 7.133 Å, c = 7.133 Å
α = 156.00°, β = 140.35°, γ = 46.88°
Positions (direct):
Cl1 0.334 0.834 0.500
Ir1 0.489 0.489 0.000
Hg1 0.005 0.005 0.000
Hg2 0.673 0.173 0.500

=====

CrCd2BN: optimized geometry, PBE.

Output
Its space group is P4/mmm. The uncorrected formation energy is 4.68 eV/f.u. For the uncorrected energy, the calculation gives -21.77 eV per formula unit.

a = 4.681 Å, b = 3.720 Å, c = 4.681 Å
α = 90.00°, β = 90.00°, γ = 90.00°
Positions (direct):
N1 0.000 0.000 0.000
B1 0.500 0.500 0.500
Cd1 0.000 0.000 0.500
Cd2 0.500 0.000 0.000
Cr1 0.000 0.500 0.000

=====

AlAsIr2: optimized geometry, PBE.

Output
Its space group is Pmmm. As for the formation energy from the elements: -0.15 eV/f.u. For the uncorrected energy, the calculation gives -26.26 eV per formula unit.

a = 2.978 Å, b = 4.904 Å, c = 4.190 Å
α = 90.00°, β = 90.00°, γ = 90.00°
Positions (direct):
Al1 0.500 0.000 0.500
Ir1 0.000 0.000 0.000
Ir2 0.500 0.500 0.000
As1 0.000 0.500 0.500

=====

LiMnB3: optimized geometry, PBE.

Output
Its space group is Pm-3m. As for the formation energy from the elements: 9.04 eV/f.u. For the uncorrected energy, the calculation gives -22.07 eV per formula unit.

a = 3.407 Å, b = 3.407 Å, c = 3.407 Å
α = 90.00°, β = 90.00°, γ = 90.00°
Positions (direct):
Li1 0.000 0.000 0.000
B1 0.500 0.000 0.000
B2 0.000 0.000 0.500
B3 0.000 0.500 0.000
Mn1 0.500 0.500 0.500

=====

Ce2Sm3YS6: optimized geometry, PBE.

Output
Its space group is C2/m. The uncorrected formation energy is -24.38 eV/f.u. For the uncorrected energy, the calculation gives -81.64 eV per formula unit.

a = 6.929 Å, b = 6.929 Å, c = 6.931 Å
α = 99.62°, β = 99.62°, γ = 120.07°
Positions (direct):
Sm1 0.500 0.500 0.500
Sm2 0.833 0.167 0.500
Sm3 0.167 0.833 0.500
Ce1 0.334 0.666 0.000
Ce2 0.666 0.334 0.000
S1 0.589 0.918 0.752
S2 0.918 0.589 0.752
S3 0.411 0.082 0.248
S4 0.246 0.246 0.751
S5 0.754 0.754 0.249
S6 0.082 0.411 0.248
Y1 0.000 0.000 0.000

=====

LaIrF2: optimized geometry, PBE.

Output
Its space group is R-3m. The uncorrected formation energy is -5.23 eV/f.u. For the uncorrected energy, the calculation gives -22.76 eV per formula unit.

a = 7.919 Å, b = 7.919 Å, c = 7.919 Å
α = 22.83°, β = 22.83°, γ = 22.83°
Positions (direct):
F1 0.091 0.091 0.091
F2 0.909 0.909 0.909
La1 0.500 0.500 0.500
Ir1 0.000 0.000 0.000